Entry 1:
Entry from the Alexandria database: an optimized crystal structure of Tl3VSe2S2 (PBE).

The structure in POSCAR format:
```
Tl3VSe2S2
1.0
0.000 5.626 3.897
5.342 0.000 3.897
5.342 5.626 0.000
Tl V Se S
3 1 2 2
Direct
0.000 0.000 0.000 Tl
0.448 0.448 0.052 Tl
0.948 0.948 0.552 Tl
0.488 0.488 0.512 V
0.486 0.825 0.175 Se
0.825 0.486 0.514 Se
0.162 0.489 0.838 S
0.489 0.162 0.511 S
```

- E_form (uncorrected): -583 meV/atom
- E_tot: -4.5136 eV per atom

---

Entry 2:
Entry from the Alexandria database: an optimized crystal structure of ErCdPbAu (PBE).

The structure in POSCAR format:
```
ErCdPbAu
1.0
0.000 3.618 3.618
3.618 0.000 3.618
3.618 3.618 0.000
Er Cd Pb Au
1 1 1 1
Direct
0.000 0.000 0.000 Er
0.500 0.500 0.500 Cd
0.750 0.750 0.750 Pb
0.250 0.250 0.250 Au
```

- E_tot: -3.4931 eV per atom
- E_form: -377 meV/atom

---

Entry 3:
Entry from the Alexandria database: an optimized crystal structure of Nd3TlPb3 (PBE).

The structure in POSCAR format:
```
Nd3TlPb3
1.0
9.155 0.000 0.000
-4.578 7.928 0.000
0.000 0.000 5.924
Nd Tl Pb
6 2 6
Direct
0.089 0.447 0.250 Nd
0.358 0.911 0.250 Nd
0.447 0.358 0.750 Nd
0.553 0.642 0.250 Nd
0.642 0.089 0.750 Nd
0.911 0.553 0.750 Nd
0.333 0.667 0.750 Tl
0.667 0.333 0.250 Tl
0.055 0.254 0.750 Pb
0.199 0.945 0.750 Pb
0.254 0.199 0.250 Pb
0.746 0.801 0.750 Pb
0.801 0.055 0.250 Pb
0.945 0.746 0.250 Pb
```

- E_tot: -4.2797 eV per atom
- E_form: -309 meV/atom

---

> The lowest E_tot belongs to which entry?

Tl3VSe2S2

---

Repeat the third record exactly.
Entry from the Alexandria database: an optimized crystal structure of Nd3TlPb3 (PBE).

The structure in POSCAR format:
```
Nd3TlPb3
1.0
9.155 0.000 0.000
-4.578 7.928 0.000
0.000 0.000 5.924
Nd Tl Pb
6 2 6
Direct
0.089 0.447 0.250 Nd
0.358 0.911 0.250 Nd
0.447 0.358 0.750 Nd
0.553 0.642 0.250 Nd
0.642 0.089 0.750 Nd
0.911 0.553 0.750 Nd
0.333 0.667 0.750 Tl
0.667 0.333 0.250 Tl
0.055 0.254 0.750 Pb
0.199 0.945 0.750 Pb
0.254 0.199 0.250 Pb
0.746 0.801 0.750 Pb
0.801 0.055 0.250 Pb
0.945 0.746 0.250 Pb
```

- E_tot: -4.2797 eV per atom
- E_form: -309 meV/atom